Version i
Compound: Dy2LuHf
Source: Alexandria
Functional: PBE-GGA
Structure: relaxed

Cell: 3.9744 3.9744 7.1368 Å, 90.00 90.00 90.00°
With the nearest neighbours (Å) after each atom.
Element x y z (fractional)
Dy 0.0000 0.0000 0.2273  1 Dy 3.24, 4 Hf 3.24, 4 Lu 3.42
Dy 0.0000 0.0000 0.7727  1 Dy 3.24, 4 Hf 3.24, 4 Lu 3.42
Lu 0.5000 0.5000 0.5000  8 Dy 3.42, 2 Hf 3.57
Hf 0.5000 0.5000 0.0000  8 Dy 3.24, 2 Lu 3.57

The total magnetic moment is 0.00 μB per cell. The density of states at the Fermi level comes out at 6.44 states/eV per cell.

***

Version ii
Compound: Dy2LuHf
Source: Alexandria
Functional: PBE-GGA
Structure: relaxed

Cell: 4.8219 4.8219 4.7861 Å, 90.00 90.00 90.00°
With the nearest neighbours (Å) after each atom.
Element x y z (fractional)
Dy 0.0000 0.5000 0.0000  4 Hf 3.40, 4 Lu 3.40, 4 Dy 3.41
Dy 0.5000 0.0000 0.0000  4 Hf 3.40, 4 Lu 3.40, 4 Dy 3.41
Lu 0.0000 0.0000 0.5000  8 Dy 3.40, 4 Hf 3.41
Hf 0.5000 0.5000 0.5000  8 Dy 3.40, 4 Lu 3.41

The total magnetic moment is 0.00 μB per cell. The density of states at the Fermi level comes out at 5.33 states/eV per cell.

***

Version iii
Compound: Dy2LuHf
Source: Alexandria
Functional: PBE-GGA
Structure: relaxed

Cell: 12.0421 12.0421 12.0421 Å, 15.82 15.82 15.82°
With the nearest neighbours (Å) after each atom.
Element x y z (fractional)
Dy 0.0873 0.0873 0.0873  1 Hf 3.11, 6 Dy 3.31, 3 Lu 3.42
Dy 0.9127 0.9127 0.9127  1 Hf 3.11, 6 Dy 3.31, 3 Lu 3.42
Lu 0.5000 0.5000 0.5000  6 Lu 3.31, 6 Dy 3.42
Hf 0.0000 0.0000 0.0000  2 Dy 3.11, 6 Hf 3.31

The total magnetic moment is 0.00 μB per cell. The density of states at the Fermi level comes out at 6.25 states/eV per cell.

***

We find version ii to be the most stable, with the next structure 0.081 eV/atom higher.

***

Version i
Compound: Dy2HfMg
Source: Alexandria
Functional: PBE-GGA
Structure: relaxed

Cell: 12.3165 12.3165 12.3165 Å, 14.95 14.95 14.95°
With the nearest neighbours (Å) after each atom.
Element x y z (fractional)
Dy 0.0871 0.0871 0.0871  1 Hf 3.18, 6 Dy 3.20, 3 Mg 3.44
Dy 0.9129 0.9129 0.9129  1 Hf 3.18, 6 Dy 3.20, 3 Mg 3.44
Hf 0.0000 0.0000 0.0000  2 Dy 3.18, 6 Hf 3.20
Mg 0.5000 0.5000 0.5000  6 Mg 3.20, 6 Dy 3.44

The total magnetic moment is 0.00 μB per cell. The density of states at the Fermi level comes out at 6.01 states/eV per cell.

***

Version ii
Compound: Dy2HfMg
Source: Alexandria
Functional: PBE-GGA
Structure: relaxed

Cell: 11.2693 11.2693 11.2693 Å, 17.13 17.13 17.13°
With the nearest neighbours (Å) after each atom.
Element x y z (fractional)
Dy 0.0000 0.0000 0.0000  3 Hf 3.27, 6 Dy 3.36, 3 Mg 3.51
Dy 0.1753 0.1753 0.1753  3 Hf 3.27, 6 Dy 3.36, 3 Mg 3.50
Hf 0.5876 0.5876 0.5876  6 Dy 3.27, 6 Hf 3.36
Mg 0.7544 0.7544 0.7544  6 Mg 3.36, 6 Dy 3.50-3.51

The total magnetic moment is 0.00 μB per cell. The density of states at the Fermi level comes out at 4.53 states/eV per cell.

***

Version iii
Compound: Dy2HfMg
Source: Alexandria
Functional: PBE-GGA
Structure: relaxed

Cell: 3.3898 3.3898 9.3643 Å, 90.00 90.00 90.00°
With the nearest neighbours (Å) after each atom.
Element x y z (fractional)
Dy 0.0000 0.0000 0.2423  4 Hf 3.30, 4 Dy 3.39, 4 Mg 3.40
Dy 0.0000 0.0000 0.7577  4 Hf 3.30, 4 Dy 3.39, 4 Mg 3.40
Hf 0.5000 0.5000 0.0000  8 Dy 3.30, 4 Hf 3.39
Mg 0.5000 0.5000 0.5000  4 Mg 3.39, 8 Dy 3.40

The total magnetic moment is 0.00 μB per cell. The density of states at the Fermi level comes out at 4.60 states/eV per cell.

***

We find version iii to be the most stable, with the next structure 0.073 eV/atom higher.